# RuPt2Rh

A PBEsol-optimized structure of RuPt2Rh (SCAN, Alexandria).

Cell lengths 3.827, 3.827, 4.712 Å; angles 113.96, 113.96, 90.00 degrees
Fractional coordinates of all 4 atoms:
Pt1 0.250 0.750 0.500
Pt2 0.500 0.500 0.000
Rh1 0.000 0.000 0.000
Ru1 0.750 0.250 0.500

Calculated values
DFT formation energy = -0.028 eV per atom
E above lowest polymorph = 0.0180 eV/atom

=====

# Nb3NiSb

A PBEsol-optimized structure of Nb3NiSb (SCAN, Alexandria).

Cell lengths 4.944, 4.944, 4.944 Å; angles 90.00, 90.00, 90.00 degrees
Last column: magnetic moment on the atom in μB.
Fractional coordinates of all 5 atoms:
Nb1 0.000 0.500 0.000  0.52
Nb2 0.000 0.000 0.500  0.52
Nb3 0.500 0.000 0.000  0.52
Sb1 0.000 0.000 0.000  0.00
Ni1 0.500 0.500 0.500  1.42

Calculated values
Formation energy from raw total energies = 1870.1 meV per atom

=====

# KAgO

A PBEsol-optimized structure of KAgO (SCAN, Alexandria).

Cell lengths 5.445, 7.420, 7.420 Å; angles 82.26, 68.47, 68.47 degrees
Fractional coordinates of all 12 atoms:
O1 0.295 0.705 0.705
O2 0.705 0.295 0.295
O3 0.000 0.705 0.295
O4 0.000 0.295 0.705
Ag1 0.852 0.000 0.297
Ag2 0.148 0.000 0.703
Ag3 0.852 0.297 0.000
Ag4 0.148 0.703 0.000
K1 0.820 0.680 0.680
K2 0.500 0.680 0.320
K3 0.180 0.320 0.320
K4 0.500 0.320 0.680

Calculated values
Formation energy from raw total energies = -915.3 meV per atom

=====

# SrP2S2

A PBEsol-optimized structure of SrP2S2 (SCAN, Alexandria).

Cell lengths 3.709, 3.709, 7.941 Å; angles 103.51, 103.51, 90.00 degrees
Fractional coordinates of all 5 atoms:
S1 0.424 0.424 0.848
S2 0.576 0.576 0.152
P1 0.250 0.750 0.500
P2 0.750 0.250 0.500
Sr1 0.000 0.000 0.000

Calculated values
Formation energy from raw total energies = -277.0 meV per atom
E above lowest polymorph = 0.0166 eV/atom

=====

# KCaAg2

A PBEsol-optimized structure of KCaAg2 (SCAN, Alexandria).

Cell lengths 3.520, 5.442, 6.089 Å; angles 106.53, 106.80, 90.00 degrees
Fractional coordinates of all 4 atoms:
K1 0.272 0.799 0.544
Ag1 0.720 0.265 0.441
Ag2 0.037 0.000 0.074
Ca1 0.471 0.436 0.942

Calculated values
DFT formation energy = 0.006 eV per atom
E above lowest polymorph = 0.1226 eV/atom

=====

# ReP2SeS

A PBEsol-optimized structure of ReP2SeS (SCAN, Alexandria).

Cell lengths 4.461, 4.452, 4.452 Å; angles 90.00, 90.00, 90.00 degrees
Last column: magnetic moment on the atom in μB.
Fractional coordinates of all 5 atoms:
Se1 0.000 0.000 0.000  -0.03
P1 0.000 0.500 0.000  -0.15
P2 0.000 0.000 0.500  -0.15
S1 0.500 0.000 0.000  -0.11
Re1 0.500 0.500 0.500  2.29

Calculated values
Formation energy from raw total energies = 1910.3 meV per atom

=====

# HfScInSb2

A PBEsol-optimized structure of HfScInSb2 (SCAN, Alexandria).

Cell lengths 5.126, 5.311, 5.311 Å; angles 90.00, 90.00, 90.00 degrees
Fractional coordinates of all 5 atoms:
Sb1 0.000 0.500 0.000
Sb2 0.000 0.000 0.500
Sc1 0.000 0.000 0.000
In1 0.500 0.500 0.500
Hf1 0.500 0.000 0.000

Calculated values
Formation energy from raw total energies = 615.4 meV per atom

=====

# GeAsPt3

A PBEsol-optimized structure of GeAsPt3 (SCAN, Alexandria).

Cell lengths 4.626, 4.626, 4.626 Å; angles 90.00, 90.00, 90.00 degrees
Fractional coordinates of all 5 atoms:
As1 0.000 0.000 0.000
Pt1 0.500 0.000 0.000
Pt2 0.000 0.500 0.000
Pt3 0.000 0.000 0.500
Ge1 0.500 0.500 0.500

Calculated values
DFT formation energy = 0.476 eV per atom

=====

Number 1: VASP energy -209.10 eV/cell. Number 2: VASP energy -143.47 eV/cell. Number 3: VASP energy -194.69 eV/cell. Number 4: VASP energy -63.71 eV/cell. Number 5: VASP energy -80.70 eV/cell. Number 6: VASP energy -112.05 eV/cell. Number 7: VASP energy -181.74 eV/cell. Number 8: VASP energy -247.48 eV/cell.